# 1
Compound: CaPmPu
Source: the Alexandria database
Functional: PBE-GGA
Structure: optimized geometry

abc: 8.348 8.348 8.348
angles: 155.38 155.38 35.09
Fractional positions:
Ca (0.000, 0.000, 0.000)
Pm (0.320, 0.320, 0.000)
Pu (0.669, 0.669, 0.000)

Summary:
* formation energy: 0.207 eV/atom
* distance to the lowest polymorph of the same formula: 0.127 eV per atom
* D(E_F): 9.8 states/eV/cell
* uncorrected energy: -20.46 eV per cell


# 2
Compound: ZrIn3Te4
Source: the Alexandria database
Functional: PBE-GGA
Structure: optimized geometry

abc: 12.922 6.213 6.348
angles: 90.00 90.00 90.00
Fractional positions:
Zr (0.000, 0.237, 0.000)
Zr (0.500, 0.763, 0.500)
In (0.000, 0.750, 0.467)
In (0.249, 0.753, 0.937)
In (0.251, 0.247, 0.437)
In (0.500, 0.250, 0.967)
In (0.749, 0.247, 0.437)
In (0.751, 0.753, 0.937)
Te (0.000, 0.248, 0.449)
Te (0.000, 0.756, 0.979)
Te (0.223, 0.251, 0.942)
Te (0.277, 0.749, 0.442)
Te (0.500, 0.244, 0.479)
Te (0.500, 0.752, 0.949)
Te (0.723, 0.749, 0.442)
Te (0.777, 0.251, 0.942)

Summary:
* D(E_F): 7.8 states/eV/cell
* uncorrected energy: -64.66 eV per cell
* uncorrected formation energy: -0.375 eV/atom


# 3
Compound: TiCr2Fe
Source: the Alexandria database
Functional: PBE-GGA
Structure: optimized geometry

abc: 4.097 4.097 4.097
angles: 60.00 60.00 60.00
Fractional positions:
Ti (0.000, 0.000, 0.000)
Cr (0.250, 0.250, 0.250)
Cr (0.750, 0.750, 0.750)
Fe (0.500, 0.500, 0.500)

Summary:
* formation energy: 0.098 eV/atom
* distance to the lowest polymorph of the same formula: 0.000 eV per atom
* D(E_F): 5.4 states/eV/cell
* uncorrected energy: -35.21 eV per cell


# 4
Compound: AlCuRe2Br
Source: the Alexandria database
Functional: PBE-GGA
Structure: optimized geometry

abc: 4.717 4.717 4.526
angles: 90.00 90.00 90.00
Fractional positions:
Al (0.000, 0.000, 0.000)
Cu (0.500, 0.500, 0.500)
Re (0.000, 0.500, 0.500)
Re (0.500, 0.000, 0.500)
Br (0.500, 0.500, 0.000)

Summary:
* D(E_F): 5.4 states/eV/cell
* uncorrected energy: -24.28 eV per cell
* uncorrected formation energy: 2.026 eV/atom